# 1
Compound: Sr3BiPt
Source: Alexandria
Functional: PBE
Structure: relaxed

Values from the calculation:
Crystal system = orthorhombic
ΔE to the lowest computed polymorph = 0.000 eV per formula unit
Formation energy from the elements = -0.712 eV/atom

a = 7.0118 Å, b = 10.8163 Å, c = 10.8163 Å
α = 116.03°, β = 90.00°, γ = 90.00°
Positions (direct):
Pt1 0.7672 0.1062 0.3938
Sr1 0.4958 0.7521 0.7480
Bi1 0.2500 0.9203 0.0796
Bi2 0.2500 0.4203 0.5796
Sr2 0.9958 0.7479 0.7520
Sr3 0.7441 0.4396 0.0604
Pt2 0.2328 0.8938 0.6062
Bi3 0.7500 0.5797 0.4204
Sr4 0.0042 0.2521 0.2480
Pt3 0.2672 0.3938 0.1062
Bi4 0.7500 0.0797 0.9204
Sr5 0.2501 0.6229 0.3771
Sr6 0.5042 0.2479 0.2520
Sr7 0.2441 0.0604 0.4396
Sr8 0.2559 0.5604 0.9396
Pt4 0.7328 0.6062 0.8938
Sr9 0.7499 0.3771 0.6229
Sr10 0.2499 0.1229 0.8771
Sr11 0.7501 0.8771 0.1229
Sr12 0.7559 0.9396 0.5604

# 2
Compound: LaCe3P4
Source: Alexandria
Functional: PBE
Structure: relaxed

Values from the calculation:
Crystal system = orthorhombic
Formation energy from the elements = -1.509 eV/atom

a = 4.1363 Å, b = 7.1692 Å, c = 7.1692 Å
α = 70.54°, β = 90.00°, γ = 90.00°
Positions (direct):
P1 0.5001 0.7542 0.2541
P2 0.4998 0.2460 0.7458
Ce1 0.0000 0.5001 0.5000
P3 0.0000 0.2413 0.2588
La1 0.5000 0.5001 0.0000
P4 0.0000 0.7589 0.7412
Ce2 0.9999 0.0001 0.0000
Ce3 0.5000 0.0001 0.5000

# 3
Compound: KTaBe2
Source: Alexandria
Functional: PBE
Structure: relaxed

Values from the calculation:
Crystal system = cubic
ΔE to the lowest computed polymorph = 3.089 eV per formula unit
Formation energy from the elements = 1.437 eV/atom

a = 4.6339 Å, b = 4.6339 Å, c = 4.6339 Å
α = 60.00°, β = 60.00°, γ = 60.00°
Positions (direct):
Be1 0.7500 0.7500 0.7500
Be2 0.2500 0.2500 0.2500
K1 0.0000 0.0000 0.0000
Ta1 0.5000 0.5000 0.5000

# 4
Compound: Pu3BN6
Source: Alexandria
Functional: PBE
Structure: relaxed

Values from the calculation:
Uncorrected formation energy = -8.47 eV per formula unit
Crystal system = orthorhombic

a = 4.9967 Å, b = 7.0650 Å, c = 7.0650 Å
α = 103.23°, β = 90.00°, γ = 90.00°
Positions (direct):
N1 0.1659 0.1228 0.5910
N2 0.7078 0.2080 0.7920
N3 0.6991 0.3226 0.3591
Pu1 0.4633 0.3043 0.0765
B1 0.5310 0.8022 0.1978
N4 0.1991 0.6774 0.6409
Pu2 0.9314 0.6089 0.3911
N5 0.1586 0.0662 0.9338
Pu3 0.9633 0.6957 0.9235
B2 0.0310 0.1978 0.8022
Pu4 0.4314 0.3911 0.6089
N6 0.6586 0.9338 0.0662
Pu5 0.4633 0.9235 0.6957
N7 0.6659 0.5910 0.1228
N8 0.2078 0.7920 0.2080
Pu6 0.9633 0.0765 0.3043
N9 0.6659 0.8772 0.4090
N10 0.1659 0.4090 0.8772
N11 0.1991 0.3591 0.3226
N12 0.6991 0.6409 0.6774

# 5
Compound: ZrScP2O
Source: Alexandria
Functional: PBE
Structure: relaxed

Values from the calculation:
Uncorrected formation energy = -3.46 eV per formula unit
Crystal system = tetragonal
ΔE to the lowest computed polymorph = 1.117 eV per formula unit

a = 4.9285 Å, b = 4.9285 Å, c = 3.8481 Å
α = 90.00°, β = 90.00°, γ = 90.00°
Positions (direct):
P1 0.5000 0.0000 0.0000
Sc1 0.0000 0.0000 0.0000
O1 0.0000 0.0000 0.5000
P2 0.0000 0.5000 0.0000
Zr1 0.5000 0.5000 0.5000

# 6
Compound: FeRuSe2
Source: Alexandria
Functional: PBE
Structure: relaxed

Values from the calculation:
Uncorrected formation energy = 2.03 eV per formula unit
Crystal system = orthorhombic
ΔE to the lowest computed polymorph = 2.927 eV per formula unit

a = 3.1899 Å, b = 3.1899 Å, c = 7.8259 Å
α = 90.00°, β = 90.00°, γ = 121.83°
Positions (direct):
Se1 0.0000 0.0000 0.4970
Se2 0.0000 0.0000 0.0030
Fe1 0.5000 0.5000 0.2500
Ru1 0.5000 0.5000 0.7500

# 7
Compound: CaMgZn2H8
Source: Alexandria
Functional: PBE
Structure: relaxed

Values from the calculation:
E = -34.68 eV per cell
Crystal system = trigonal

a = 4.7104 Å, b = 4.7104 Å, c = 6.7863 Å
α = 90.00°, β = 90.00°, γ = 120.00°
Positions (direct):
H1 0.6667 0.3333 0.0027
H2 0.0239 0.3104 0.6935
Ca1 0.0000 0.0000 0.0000
H3 0.7135 0.0239 0.3065
H4 0.6896 0.7135 0.6935
H5 0.3104 0.2865 0.3065
Zn1 0.6667 0.3333 0.2449
Mg1 0.0000 0.0000 0.5000
H6 0.9761 0.6896 0.3065
H7 0.3333 0.6667 0.9973
H8 0.2865 0.9761 0.6935
Zn2 0.3333 0.6667 0.7551

# 8
Compound: Tb2HoS4
Source: Alexandria
Functional: PBE
Structure: relaxed

Values from the calculation:
Uncorrected formation energy = -14.12 eV per formula unit
Crystal system = monoclinic
ΔE to the lowest computed polymorph = 0.353 eV per formula unit

a = 3.9538 Å, b = 6.9309 Å, c = 7.6607 Å
α = 119.33°, β = 104.95°, γ = 90.00°
Positions (direct):
Ho1 0.0000 0.0000 0.0000
Tb1 0.2744 0.2674 0.5487
S1 0.1231 0.8118 0.2462
S2 0.8769 0.1882 0.7538
S3 0.6379 0.2713 0.2757
S4 0.3621 0.7287 0.7243
Tb2 0.7256 0.7326 0.4513

# 9
Compound: LiAc5Zn4
Source: Alexandria
Functional: PBE
Structure: relaxed

Values from the calculation:
Crystal system = tetragonal
Formation energy from the elements = -0.186 eV/atom

a = 3.9386 Å, b = 3.9386 Å, c = 19.7123 Å
α = 90.00°, β = 90.00°, γ = 90.00°
Positions (direct):
Zn1 0.0000 0.0000 0.4010
Zn2 0.0000 0.0000 0.2029
Zn3 0.0000 0.0000 0.7971
Zn4 0.0000 0.0000 0.5990
Ac1 0.5000 0.5000 0.1087
Ac2 0.5000 0.5000 0.3023
Ac3 0.5000 0.5000 0.5000
Ac4 0.5000 0.5000 0.8913
Ac5 0.5000 0.5000 0.6977
Li1 0.0000 0.0000 0.0000

# 10
Compound: Sc2ZnInH
Source: Alexandria
Functional: PBE
Structure: relaxed

Values from the calculation:
E = -21.72 eV per cell
Crystal system = tetragonal

a = 4.4036 Å, b = 4.4036 Å, c = 4.2832 Å
α = 90.00°, β = 90.00°, γ = 90.00°
Positions (direct):
Sc1 0.5000 0.0000 0.0000
In1 0.5000 0.5000 0.5000
Sc2 0.0000 0.5000 0.0000
H1 0.0000 0.0000 0.0000
Zn1 0.0000 0.0000 0.5000

# 11
Compound: Nd2ScAg
Source: Alexandria
Functional: PBE
Structure: relaxed

Values from the calculation:
Crystal system = cubic
ΔE to the lowest computed polymorph = 0.488 eV per formula unit
Formation energy from the elements = 0.042 eV/atom

a = 5.3989 Å, b = 5.3989 Å, c = 5.3989 Å
α = 60.00°, β = 60.00°, γ = 60.00°
Positions (direct):
Sc1 0.0000 0.0000 0.0000
Nd1 0.7500 0.7500 0.7500
Ag1 0.5000 0.5000 0.5000
Nd2 0.2500 0.2500 0.2500

# 12
Compound: EuTlBi2
Source: Alexandria
Functional: PBE
Structure: relaxed

Values from the calculation:
Crystal system = cubic
ΔE to the lowest computed polymorph = 0.733 eV per formula unit
Formation energy from the elements = -0.288 eV/atom

a = 5.6997 Å, b = 5.6997 Å, c = 5.6997 Å
α = 60.00°, β = 60.00°, γ = 60.00°
Positions (direct):
Bi1 0.7500 0.7500 0.7500
Bi2 0.2500 0.2500 0.2500
Eu1 0.0000 0.0000 0.0000
Tl1 0.5000 0.5000 0.5000

Total magnetic moment values (in Bohr magnetons per cell) by entry order: 0.00, 1.82, 0.00, 18.00, 0.00, 3.27, 0.00, 0.00, 0.00, 1.01, 0.00, 7.08.